# 1
Compound: NaHf3F
Source: Alexandria
Functional: PBE
Structure: optimized geometry

```
NaHf3F
1.0
4.632 0.000 0.000
0.000 4.632 0.000
0.000 0.000 4.632
Na Hf F
1 3 1
Cartesian
0.000 0.000 0.000
0.000 2.316 2.316
2.316 0.000 2.316
2.316 2.316 0.000
2.316 2.316 2.316
```

ΔE to the lowest computed polymorph   0.0 meV/atom
Symmetry   No. 221
Spin magnetization   0.000 μB/cell
Energy   -33.2 eV/cell
Formation energy (no corrections)   -0.034 eV/atom

# 2
Compound: Ac3PmDy3Te8
Source: Alexandria
Functional: PBE
Structure: optimized geometry

```
Ac3PmDy3Te8
1.0
4.478 2.585 7.531
-4.478 2.585 7.531
0.000 -5.171 7.531
Ac Pm Dy Te
3 1 3 8
Cartesian
-2.239 -1.293 7.531
-2.239 1.293 15.062
0.000 2.585 7.531
0.000 0.000 11.296
-4.478 0.000 11.296
-2.239 1.293 3.765
2.239 1.293 3.765
-2.339 -1.350 13.068
0.000 0.000 5.453
0.000 -2.701 9.525
-2.339 1.350 9.525
2.339 -1.350 13.068
0.000 2.701 13.068
0.000 0.000 17.139
2.339 1.350 9.525
```

Symmetry   No. 166
Spin magnetization   0.000 μB/cell
Energy   -77.6 eV/cell
Formation energy (no corrections)   -1.439 eV/atom

# 3
Compound: Tm12Tl6Fe
Source: Alexandria
Functional: PBE
Structure: optimized geometry

```
Tm12Tl6Fe
1.0
6.018 3.474 4.345
-6.018 3.474 4.345
0.000 -6.949 4.345
Tm Tl Fe
12 6 1
Cartesian
-4.041 -3.890 7.116
-5.389 1.555 5.919
-2.007 -0.335 5.081
1.348 -5.445 5.919
1.294 -1.570 5.081
-0.713 -1.905 7.954
0.713 1.905 5.081
-1.294 1.570 7.954
-1.348 5.445 7.116
2.007 0.335 7.954
5.389 -1.555 7.116
4.041 3.890 5.919
-1.325 -3.378 5.312
-3.588 -0.542 7.723
-2.263 2.837 5.312
2.263 -2.837 7.723
3.588 0.542 5.312
1.325 3.378 7.723
0.000 0.000 0.000
```

Symmetry   No. 148
Spin magnetization   0.000 μB/cell
Energy   -78.1 eV/cell
ΔH_f (0 K)   -0.094 eV per atom

# 4
Compound: NaTmMg2Cl8
Source: Alexandria
Functional: PBE
Structure: optimized geometry

```
NaTmMg2Cl8
1.0
6.147 0.000 0.000
0.000 7.796 0.000
-0.035 0.000 6.227
Na Tm Mg Cl
1 1 2 8
Cartesian
0.000 0.000 0.000
0.000 3.898 0.000
3.056 1.846 3.114
3.056 5.950 3.114
1.342 2.057 1.234
1.342 5.739 1.234
1.795 3.898 4.261
1.841 0.000 4.212
4.270 0.000 2.015
4.317 3.898 1.966
4.770 2.057 4.993
4.770 5.739 4.993
```

Symmetry   No. 10
Spin magnetization   0.000 μB/cell
Energy   -47.1 eV/cell
Formation energy (no corrections)   -1.949 eV/atom

# 5
Compound: TbBiSb
Source: Alexandria
Functional: PBE
Structure: optimized geometry

```
TbBiSb
1.0
8.981 5.185 2.051
-8.981 5.185 2.051
0.000 -10.370 2.051
Tb Bi Sb
6 6 6
Cartesian
-1.231 -4.475 2.611
-4.491 -1.172 3.541
-3.260 3.303 2.611
3.260 -3.303 3.541
4.491 1.172 2.611
1.231 4.475 3.541
-1.609 -1.232 1.732
-0.262 2.009 1.732
1.871 -0.778 1.732
-1.871 0.778 4.420
0.262 -2.009 4.420
1.609 1.232 4.420
-5.892 1.718 2.489
-4.434 -4.243 3.663
1.458 -5.961 2.489
-1.458 5.961 3.663
4.434 4.243 2.489
5.892 -1.718 3.663
```

ΔE to the lowest computed polymorph   81.3 meV/atom
Symmetry   No. 148
Spin magnetization   0.000 μB/cell
Energy   -85.0 eV/cell
Formation energy (no corrections)   -0.514 eV/atom

# 6
Compound: Rb2NaPt2
Source: Alexandria
Functional: PBE
Structure: optimized geometry

```
Rb2NaPt2
1.0
7.604 0.000 0.000
0.000 7.604 0.000
0.000 0.000 5.318
Rb Na Pt
4 2 4
Cartesian
1.305 2.497 0.000
2.497 6.299 0.000
5.107 1.305 0.000
6.299 5.107 0.000
0.000 0.000 2.659
3.802 3.802 2.659
0.907 4.709 2.659
2.895 0.907 2.659
4.709 6.697 2.659
6.697 2.895 2.659
```

Symmetry   No. 127
Spin magnetization   0.000 μB/cell
Energy   -29.3 eV/cell
ΔH_f (0 K)   0.132 eV per atom

# 7
Compound: DyPa4Sb5
Source: Alexandria
Functional: PBE
Structure: optimized geometry

```
DyPa4Sb5
1.0
-4.876 4.876 3.084
4.876 -4.876 3.084
4.876 4.876 -3.084
Dy Pa Sb
1 4 5
Cartesian
0.000 0.000 0.000
3.901 1.949 0.000
2.927 -0.975 3.084
1.949 5.851 0.000
0.975 2.927 3.084
6.841 0.975 0.000
0.975 2.912 0.000
0.000 0.000 3.084
3.901 1.964 3.084
-1.964 3.901 3.084
```

Symmetry   No. 87
Spin magnetization   0.003 μB/cell
Energy   -68.9 eV/cell
Formation energy (no corrections)   -0.568 eV/atom

# 8
Compound: CaCoPS2
Source: Alexandria
Functional: PBE
Structure: optimized geometry

```
CaCoPS2
1.0
4.810 0.000 0.000
0.000 4.810 0.000
0.000 0.000 4.077
Ca Co P S
1 1 1 2
Cartesian
0.000 0.000 0.000
2.405 2.405 2.038
2.405 2.405 0.000
0.000 2.405 2.038
2.405 0.000 2.038
```

ΔE to the lowest computed polymorph   0.0 meV/atom
Symmetry   No. 123
Spin magnetization   0.000 μB/cell
Energy   -25.1 eV/cell
Formation energy (no corrections)   -0.475 eV/atom

# 9
Compound: PmZr2Pa
Source: Alexandria
Functional: PBE
Structure: optimized geometry

```
PmZr2Pa
1.0
1.632 0.942 11.625
-1.632 0.942 11.625
0.000 -1.884 11.625
Pm Zr Pa
1 2 1
Cartesian
0.000 0.000 0.000
0.000 0.000 3.181
0.000 0.000 31.695
0.000 0.000 17.438
```

ΔE to the lowest computed polymorph   156.5 meV/atom
Symmetry   No. 166
Spin magnetization   0.000 μB/cell
Energy   -30.2 eV/cell
ΔH_f (0 K)   0.296 eV per atom

# 10
Compound: Ba2Cd12Ag3Pt
Source: Alexandria
Functional: PBE
Structure: optimized geometry

```
Ba2Cd12Ag3Pt
1.0
3.289 1.899 12.606
-3.289 1.899 12.606
0.000 -3.798 12.606
Ba Cd Ag Pt
2 12 3 1
Cartesian
0.000 0.000 5.390
0.000 0.000 32.428
0.000 -2.083 10.623
-1.804 1.042 10.623
-1.588 -0.917 16.762
-1.804 -1.042 27.194
0.000 -1.834 21.056
-1.588 0.917 21.056
1.588 -0.917 16.762
0.000 1.834 16.762
1.804 1.042 10.623
1.588 0.917 21.056
1.804 -1.042 27.194
0.000 2.083 27.194
-1.645 -0.950 12.606
-1.645 0.950 25.212
0.000 1.899 12.606
0.000 0.000 18.909
```

Symmetry   No. 166
Spin magnetization   0.000 μB/cell
Energy   -30.8 eV/cell
ΔH_f (0 K)   -0.077 eV per atom

# 11
Compound: LiPr4Co
Source: Alexandria
Functional: PBE
Structure: optimized geometry

```
LiPr4Co
1.0
0.000 7.015 7.015
7.015 0.000 7.015
7.015 7.015 0.000
Li Pr Co
4 16 4
Cartesian
5.930 5.930 5.930
8.100 8.100 5.930
8.100 5.930 8.100
5.930 8.100 8.100
9.201 4.830 4.830
3.508 3.508 0.856
3.508 0.856 3.508
6.159 3.508 3.508
7.015 7.015 2.620
7.015 2.620 7.015
11.410 7.015 7.015
0.856 3.508 3.508
3.508 6.159 3.508
3.508 3.508 6.159
4.830 9.201 4.830
4.830 4.830 9.201
9.201 9.201 9.201
2.620 7.015 7.015
7.015 11.410 7.015
7.015 7.015 11.410
12.052 8.994 8.994
8.994 12.052 8.994
8.994 8.994 12.052
12.052 12.052 12.052
```

ΔE to the lowest computed polymorph   0.0 meV/atom
Symmetry   No. 216
Spin magnetization   0.000 μB/cell
Energy   -113.2 eV/cell
ΔH_f (0 K)   -0.027 eV per atom

# 12
Compound: TcPWCl2
Source: Alexandria
Functional: PBE
Structure: optimized geometry

```
TcPWCl2
1.0
4.731 0.000 0.000
0.000 4.731 0.000
0.000 0.000 4.851
Tc P W Cl
1 1 1 2
Cartesian
0.000 0.000 0.000
2.365 2.365 0.000
2.365 2.365 2.426
0.000 2.365 2.426
2.365 0.000 2.426
```

ΔE to the lowest computed polymorph   0.0 meV/atom
Symmetry   No. 123
Spin magnetization   4.107 μB/cell
Energy   -27.5 eV/cell
Formation energy (no corrections)   0.989 eV/atom

Among the records above, which one has the lowest energy? LiPr4Co

Which value of energy does entry 2 give? -77.6 eV/cell